# 1
VASP calculation (PBE) on K2Tl4Pt after structural relaxation.

As for the formation energy: -0.03 eV/atom. The value obtained for the density of states at the Fermi level is 5.100 states/eV/f.u.

Cell lengths 9.8939, 9.8939, 9.8939 Å; angles 148.67, 148.67, 44.90 degrees
Last column: nearest neighbours and their distance in Å.
Sites, in units of the cell vectors:
K (0.1533, 0.1533, 0.0000)  9 Tl 3.50-3.87
K (0.8467, 0.8467, 0.0000)  9 Tl 3.50-3.87
Tl (0.0000, 0.5000, 0.5000)  2 Pt 2.67
Tl (0.3446, 0.3446, 0.0000)  1 Pt 2.84
Tl (0.5000, 0.0000, 0.5000)  2 Pt 2.67
Tl (0.6554, 0.6554, 0.0000)  1 Pt 2.84
Pt (0.5000, 0.5000, 0.0000)  6 Tl 2.67-2.84

# 2
VASP calculation (PBE) on KTl2Pt after structural relaxation.

As for the formation energy: 0.21 eV/atom. The value obtained for the density of states at the Fermi level is 1.319 states/eV/f.u.

Cell lengths 6.1439, 6.1439, 3.1123 Å; angles 90.00, 90.00, 117.59 degrees
Last column: nearest neighbours and their distance in Å.
Sites, in units of the cell vectors:
K (0.0000, 0.0000, 0.0000)  2 K 3.11, 2 Pt 3.18, 8 Tl 3.44
Tl (0.0000, 0.5000, 0.5000)  4 Tl 3.11-3.18, 4 K 3.44, 4 Pt 3.44
Tl (0.5000, 0.0000, 0.5000)  4 Tl 3.11-3.18, 4 K 3.44, 4 Pt 3.44
Pt (0.5000, 0.5000, 0.0000)  2 Pt 3.11, 2 K 3.18, 8 Tl 3.44

# 3
VASP calculation (PBE) on KTl5Pt2 after structural relaxation.

As for the formation energy: -0.10 eV/atom. The value obtained for the density of states at the Fermi level is 3.544 states/eV/f.u.

Cell lengths 7.7016, 7.7016, 7.7016 Å; angles 146.28, 115.95, 74.38 degrees
Last column: nearest neighbours and their distance in Å.
Sites, in units of the cell vectors:
K (0.0000, 0.0000, 0.0000)  10 Tl 3.71-4.08, 4 Pt 4.05
Tl (0.1368, 0.3511, 0.7858)  3 Pt 2.81-2.98
Tl (0.4347, 0.6489, 0.7858)  3 Pt 2.81-2.98
Tl (0.5000, 0.0000, 0.5000)  2 Pt 2.75
Tl (0.5653, 0.3511, 0.2142)  3 Pt 2.81-2.98
Tl (0.8632, 0.6489, 0.2142)  3 Pt 2.81-2.98
Pt (0.2757, 0.7757, 0.5000)  7 Tl 2.75-2.98
Pt (0.7243, 0.2243, 0.5000)  7 Tl 2.75-2.98

# 4
VASP calculation (PBE) on K12Tl6Pt after structural relaxation.

As for the formation energy: -0.03 eV/atom. The value obtained for the density of states at the Fermi level is 10.914 states/eV/f.u.

Cell lengths 9.7202, 9.7202, 9.7202 Å; angles 77.74, 77.74, 77.74 degrees
Last column: nearest neighbours and their distance in Å.
Sites, in units of the cell vectors:
K (0.1266, 0.1266, 0.5152)  3 Tl 3.74-3.94, 3 K 3.92-3.96
K (0.1266, 0.5152, 0.1266)  3 Tl 3.74-3.94, 3 K 3.92-3.96
K (0.1885, 0.5468, 0.5468)  3 Tl 3.84-4.21, 5 K 3.86-4.27
K (0.4532, 0.4532, 0.8115)  3 Tl 3.84-4.21, 5 K 3.86-4.27
K (0.4532, 0.8115, 0.4532)  3 Tl 3.84-4.21, 5 K 3.86-4.27
K (0.4848, 0.8734, 0.8734)  3 Tl 3.74-3.94, 3 K 3.92-3.96
K (0.5152, 0.1266, 0.1266)  3 Tl 3.74-3.94, 3 K 3.92-3.96
K (0.5468, 0.1885, 0.5468)  3 Tl 3.84-4.21, 5 K 3.86-4.27
K (0.5468, 0.5468, 0.1885)  3 Tl 3.84-4.21, 5 K 3.86-4.27
K (0.8115, 0.4532, 0.4532)  3 Tl 3.84-4.21, 5 K 3.86-4.27
K (0.8734, 0.4848, 0.8734)  3 Tl 3.74-3.94, 3 K 3.92-3.96
K (0.8734, 0.8734, 0.4848)  3 Tl 3.74-3.94, 3 K 3.92-3.96
Tl (0.1186, 0.8088, 0.8088)  1 Pt 2.81
Tl (0.1912, 0.1912, 0.8814)  1 Pt 2.81
Tl (0.1912, 0.8814, 0.1912)  1 Pt 2.81
Tl (0.8087, 0.1186, 0.8087)  1 Pt 2.81
Tl (0.8087, 0.8088, 0.1186)  1 Pt 2.81
Tl (0.8814, 0.1912, 0.1912)  1 Pt 2.81
Pt (0.0000, 0.0000, 0.0000)  6 Tl 2.81

Among the records above, which one has the lowest density of states at the Fermi level?
KTl2Pt

What is the density of states at the Fermi level in the third record?
3.544 states/eV/f.u.

Number 1 is which compound?
K2Tl4Pt

Look up the density of states at the Fermi level of the first one.
5.100 states/eV/f.u.